1.
Below is a geometry-optimized TaRuAu2 structure, with properties calculated at the PBE level.

Unit cell a=3.943 b=4.164 c=8.110 alpha=90.00 beta=90.00 gamma=90.00
Fractional coordinates of all 8 atoms:
Ta: 0.000 0.000 0.000
Ta: 0.500 0.500 0.500
Ru: 0.000 0.500 0.276
Ru: 0.500 0.000 0.776
Au: 0.000 0.000 0.517
Au: 0.000 0.500 0.761
Au: 0.500 0.000 0.261
Au: 0.500 0.500 0.017

E_tot: -6.9859 eV/atom
polymorph energy (0 for the lowest one): 12 meV per atom
crystal system: orthorhombic
calculated formation energy: -0.0651 eV per atom

---

2.
Below is a geometry-optimized Ba2Tl3SnPd4 structure, with properties calculated at the PBE level.

Unit cell a=4.933 b=4.933 c=10.775 alpha=90.00 beta=90.00 gamma=90.00
Fractional coordinates of all 10 atoms:
Ba: 0.000 0.500 0.238
Ba: 0.500 0.000 0.762
Tl: 0.000 0.500 0.878
Tl: 0.500 0.000 0.122
Tl: 0.500 0.500 0.500
Sn: 0.000 0.000 0.500
Pd: 0.000 0.000 0.000
Pd: 0.000 0.500 0.620
Pd: 0.500 0.000 0.380
Pd: 0.500 0.500 0.000

E_tot: -4.0518 eV/atom
crystal system: tetragonal
calculated formation energy: -0.4800 eV per atom

---

3.
Below is a geometry-optimized CrRuPb2 structure, with properties calculated at the PBE level.

Unit cell a=3.151 b=4.568 c=12.107 alpha=90.00 beta=90.00 gamma=90.00
Fractional coordinates of all 8 atoms:
Cr: 0.000 0.000 0.000
Cr: 0.500 0.500 0.500
Ru: 0.000 0.500 0.327
Ru: 0.500 0.000 0.827
Pb: 0.000 0.000 0.604
Pb: 0.000 0.500 0.823
Pb: 0.500 0.000 0.323
Pb: 0.500 0.500 0.104

E_tot: -6.0503 eV/atom
polymorph energy (0 for the lowest one): 202 meV per atom
crystal system: orthorhombic
calculated formation energy: 0.5287 eV per atom

---

4.
Below is a geometry-optimized Mg2InHg2 structure, with properties calculated at the PBE level.

Unit cell a=3.451 b=18.001 c=4.027 alpha=90.00 beta=90.00 gamma=90.00
Fractional coordinates of all 10 atoms:
Mg: 0.000 0.179 0.000
Mg: 0.000 0.821 0.000
Mg: 0.500 0.321 0.000
Mg: 0.500 0.679 0.000
In: 0.000 0.000 0.000
In: 0.500 0.500 0.000
Hg: 0.000 0.395 0.500
Hg: 0.000 0.605 0.500
Hg: 0.500 0.105 0.500
Hg: 0.500 0.895 0.500

E_tot: -1.3405 eV/atom
polymorph energy (0 for the lowest one): 94 meV per atom
crystal system: orthorhombic
calculated formation energy: -0.0343 eV per atom

---

5.
Below is a geometry-optimized Pm2InBi5 structure, with properties calculated at the PBE level.

Unit cell a=9.660 b=11.184 c=4.642 alpha=90.00 beta=90.00 gamma=90.00
Fractional coordinates of all 16 atoms:
Pm: 0.060 0.201 0.000
Pm: 0.440 0.701 0.000
Pm: 0.560 0.299 0.000
Pm: 0.940 0.799 0.000
In: 0.000 0.500 0.500
In: 0.500 0.000 0.500
Bi: 0.000 0.000 0.500
Bi: 0.188 0.736 0.500
Bi: 0.223 0.468 0.000
Bi: 0.277 0.968 0.000
Bi: 0.312 0.236 0.500
Bi: 0.500 0.500 0.500
Bi: 0.688 0.764 0.500
Bi: 0.723 0.032 0.000
Bi: 0.777 0.532 0.000
Bi: 0.812 0.264 0.500

E_tot: -4.3778 eV/atom
crystal system: orthorhombic
calculated formation energy: -0.4223 eV per atom

---

6.
Below is a geometry-optimized La2Pm3Dy6Ho structure, with properties calculated at the PBE level.

Unit cell a=6.250 b=6.250 c=11.880 alpha=95.02 beta=95.02 gamma=119.99
Fractional coordinates of all 12 atoms:
La: 0.166 0.834 0.000
La: 0.834 0.166 0.000
Pm: 0.000 0.000 0.500
Pm: 0.333 0.667 0.500
Pm: 0.667 0.333 0.500
Dy: 0.084 0.416 0.749
Dy: 0.252 0.252 0.252
Dy: 0.416 0.084 0.749
Dy: 0.584 0.916 0.251
Dy: 0.748 0.748 0.748
Dy: 0.916 0.584 0.251
Ho: 0.500 0.500 0.000

E_tot: -4.6760 eV/atom
crystal system: monoclinic
calculated formation energy: 0.0154 eV per atom

---

7.
Below is a geometry-optimized MgMnCo3 structure, with properties calculated at the PBE level.

Unit cell a=4.316 b=4.316 c=4.316 alpha=90.00 beta=90.00 gamma=90.00
Fractional coordinates of all 5 atoms:
Mg: 0.000 0.000 0.000
Mn: 0.500 0.500 0.500
Co: 0.000 0.000 0.500
Co: 0.000 0.500 0.000
Co: 0.500 0.000 0.000

E_tot: -4.9084 eV/atom
polymorph energy (0 for the lowest one): 629 meV per atom
crystal system: cubic
calculated formation energy: 1.5080 eV per atom

---

8.
Below is a geometry-optimized NiSe2 structure, with properties calculated at the PBE level.

Unit cell a=7.050 b=7.050 c=3.514 alpha=90.00 beta=90.00 gamma=120.00
Fractional coordinates of all 9 atoms:
Ni: 0.000 0.000 0.000
Ni: 0.333 0.667 0.500
Ni: 0.667 0.333 0.500
Se: 0.000 0.254 0.500
Se: 0.000 0.560 0.000
Se: 0.254 0.000 0.500
Se: 0.440 0.440 0.000
Se: 0.560 0.000 0.000
Se: 0.746 0.746 0.500

E_tot: -4.0595 eV/atom
formation energy without anion corrections: 0.1906 eV per atom
crystal system: hexagonal

---

9.
Below is a geometry-optimized MgNiMo structure, with properties calculated at the PBE level.

Unit cell a=10.641 b=3.123 c=5.815 alpha=90.00 beta=107.16 gamma=90.00
Fractional coordinates of all 12 atoms:
Mg: 0.000 0.000 0.000
Mg: 0.000 0.000 0.500
Mg: 0.500 0.500 0.000
Mg: 0.500 0.500 0.500
Ni: 0.173 0.500 0.349
Ni: 0.327 0.000 0.651
Ni: 0.673 0.000 0.349
Ni: 0.827 0.500 0.651
Mo: 0.195 0.500 0.838
Mo: 0.305 0.000 0.162
Mo: 0.695 0.000 0.838
Mo: 0.805 0.500 0.162

E_tot: -5.9823 eV/atom
polymorph energy (0 for the lowest one): 77 meV per atom
crystal system: monoclinic
calculated formation energy: 0.0867 eV per atom

---

10.
Below is a geometry-optimized CePr2Sn structure, with properties calculated at the PBE level.

Unit cell a=3.455 b=3.455 c=36.389 alpha=90.00 beta=90.00 gamma=120.00
Fractional coordinates of all 12 atoms:
Ce: 0.000 0.000 0.000
Ce: 0.333 0.667 0.667
Ce: 0.667 0.333 0.333
Pr: 0.000 0.000 0.092
Pr: 0.000 0.000 0.908
Pr: 0.333 0.667 0.575
Pr: 0.333 0.667 0.758
Pr: 0.667 0.333 0.242
Pr: 0.667 0.333 0.425
Sn: 0.000 0.000 0.500
Sn: 0.333 0.667 0.167
Sn: 0.667 0.333 0.833

E_tot: -4.8739 eV/atom
polymorph energy (0 for the lowest one): 404 meV per atom
crystal system: trigonal
calculated formation energy: 0.0000 eV per atom

---

11.
Below is a geometry-optimized Li12Zn5Ga3 structure, with properties calculated at the PBE level.

Unit cell a=13.209 b=13.209 c=13.209 alpha=109.47 beta=109.47 gamma=109.47
Fractional coordinates of all 80 atoms:
Li: 0.066 0.230 0.141
Li: 0.066 0.336 0.925
Li: 0.075 0.641 0.411
Li: 0.075 0.934 0.664
Li: 0.089 0.730 0.664
Li: 0.089 0.859 0.425
Li: 0.141 0.066 0.230
Li: 0.141 0.575 0.911
Li: 0.164 0.230 0.589
Li: 0.164 0.434 0.575
Li: 0.230 0.141 0.066
Li: 0.230 0.589 0.164
Li: 0.270 0.336 0.911
Li: 0.270 0.434 0.359
Li: 0.336 0.911 0.270
Li: 0.336 0.925 0.066
Li: 0.359 0.270 0.434
Li: 0.359 0.589 0.925
Li: 0.411 0.075 0.641
Li: 0.411 0.836 0.770
Li: 0.425 0.089 0.859
Li: 0.425 0.836 0.566
Li: 0.434 0.359 0.270
Li: 0.434 0.575 0.164
Li: 0.566 0.425 0.836
Li: 0.566 0.641 0.730
Li: 0.575 0.164 0.434
Li: 0.575 0.911 0.141
Li: 0.589 0.164 0.230
Li: 0.589 0.925 0.359
Li: 0.641 0.411 0.075
Li: 0.641 0.730 0.566
Li: 0.664 0.075 0.934
Li: 0.664 0.089 0.730
Li: 0.730 0.566 0.641
Li: 0.730 0.664 0.089
Li: 0.770 0.411 0.836
Li: 0.770 0.859 0.934
Li: 0.836 0.566 0.425
Li: 0.836 0.770 0.411
Li: 0.859 0.425 0.089
Li: 0.859 0.934 0.770
Li: 0.911 0.141 0.575
Li: 0.911 0.270 0.336
Li: 0.925 0.066 0.336
Li: 0.925 0.359 0.589
Li: 0.934 0.664 0.075
Li: 0.934 0.770 0.859
Zn: 0.000 0.000 0.000
Zn: 0.000 0.000 0.500
Zn: 0.000 0.500 0.000
Zn: 0.000 0.500 0.500
Zn: 0.125 0.750 0.875
Zn: 0.125 0.875 0.250
Zn: 0.250 0.125 0.875
Zn: 0.250 0.625 0.375
Zn: 0.375 0.250 0.625
Zn: 0.375 0.625 0.750
Zn: 0.500 0.000 0.000
Zn: 0.500 0.000 0.500
Zn: 0.500 0.500 0.000
Zn: 0.500 0.500 0.500
Zn: 0.625 0.375 0.250
Zn: 0.625 0.750 0.375
Zn: 0.750 0.375 0.625
Zn: 0.750 0.875 0.125
Zn: 0.875 0.125 0.750
Zn: 0.875 0.250 0.125
Ga: 0.125 0.250 0.375
Ga: 0.125 0.375 0.750
Ga: 0.250 0.375 0.125
Ga: 0.250 0.875 0.625
Ga: 0.375 0.125 0.250
Ga: 0.375 0.750 0.125
Ga: 0.625 0.250 0.875
Ga: 0.625 0.875 0.750
Ga: 0.750 0.125 0.375
Ga: 0.750 0.625 0.875
Ga: 0.875 0.625 0.250
Ga: 0.875 0.750 0.625

E_tot: -1.7383 eV/atom
crystal system: cubic
calculated formation energy: 0.1825 eV per atom

---

12.
Below is a geometry-optimized BaAlIrO6 structure, with properties calculated at the PBE level.

Unit cell a=5.143 b=5.143 c=5.816 alpha=90.00 beta=90.00 gamma=120.00
Fractional coordinates of all 9 atoms:
Ba: 0.000 0.000 0.000
Al: 0.333 0.667 0.500
Ir: 0.667 0.333 0.500
O: 0.001 0.391 0.686
O: 0.001 0.610 0.314
O: 0.390 0.391 0.314
O: 0.390 0.999 0.686
O: 0.609 0.610 0.686
O: 0.609 0.999 0.314

E_tot: -6.6848 eV/atom
formation energy without anion corrections: -1.7653 eV per atom
crystal system: trigonal

---

13.
Below is a geometry-optimized AcNd3O structure, with properties calculated at the PBE level.

Unit cell a=5.196 b=5.196 c=5.196 alpha=90.00 beta=90.00 gamma=90.00
Fractional coordinates of all 5 atoms:
Ac: 0.000 0.000 0.000
Nd: 0.000 0.500 0.500
Nd: 0.500 0.000 0.500
Nd: 0.500 0.500 0.000
O: 0.500 0.500 0.500

E_tot: -5.6825 eV/atom
formation energy without anion corrections: -1.0084 eV per atom
crystal system: cubic

---

14.
Below is a geometry-optimized Sc3AgN structure, with properties calculated at the PBE level.

Unit cell a=7.120 b=7.120 c=8.076 alpha=93.36 beta=93.36 gamma=28.57
Fractional coordinates of all 10 atoms:
Sc: 0.019 0.019 0.305
Sc: 0.204 0.204 0.139
Sc: 0.338 0.338 0.464
Sc: 0.662 0.662 0.536
Sc: 0.796 0.796 0.861
Sc: 0.981 0.981 0.695
Ag: 0.410 0.410 0.076
Ag: 0.590 0.590 0.924
N: 0.179 0.179 0.389
N: 0.821 0.821 0.611

E_tot: -6.6491 eV/atom
polymorph energy (0 for the lowest one): 305 meV per atom
formation energy without anion corrections: -0.6148 eV per atom
crystal system: monoclinic

---

15.
Below is a geometry-optimized SiNiAsP structure, with properties calculated at the PBE level.

Unit cell a=6.702 b=3.614 c=5.137 alpha=90.00 beta=96.92 gamma=90.00
Fractional coordinates of all 8 atoms:
Si: 0.000 0.000 0.000
Si: 0.500 0.500 0.000
Ni: 0.458 0.500 0.454
Ni: 0.958 0.000 0.454
As: 0.298 0.000 0.729
As: 0.798 0.500 0.729
P: 0.131 0.500 0.280
P: 0.631 0.000 0.280

E_tot: -5.3225 eV/atom
polymorph energy (0 for the lowest one): 171 meV per atom
formation energy without anion corrections: -0.0065 eV per atom
crystal system: monoclinic

---

16.
Below is a geometry-optimized La4Pm2NdTm2 structure, with properties calculated at the PBE level.

Unit cell a=8.196 b=8.196 c=8.137 alpha=107.34 beta=107.34 gamma=37.02
Fractional coordinates of all 9 atoms:
La: 0.054 0.054 0.329
La: 0.276 0.276 0.670
La: 0.724 0.724 0.330
La: 0.946 0.946 0.671
Pm: 0.388 0.388 0.330
Pm: 0.612 0.612 0.670
Nd: 0.500 0.500 0.000
Tm: 0.169 0.169 0.999
Tm: 0.831 0.831 0.001

E_tot: -4.7436 eV/atom
crystal system: monoclinic
calculated formation energy: 0.0255 eV per atom

---

17.
Below is a geometry-optimized Rb3GaO3 structure, with properties calculated at the PBE level.

Unit cell a=6.937 b=6.937 c=6.932 alpha=97.18 beta=97.18 gamma=114.71
Fractional coordinates of all 14 atoms:
Rb: 0.196 0.804 0.000
Rb: 0.259 0.741 0.500
Rb: 0.372 0.372 0.155
Rb: 0.628 0.628 0.845
Rb: 0.741 0.259 0.500
Rb: 0.804 0.196 0.000
Ga: 0.163 0.163 0.649
Ga: 0.837 0.837 0.351
O: 0.099 0.099 0.358
O: 0.152 0.414 0.766
O: 0.414 0.152 0.766
O: 0.586 0.848 0.234
O: 0.848 0.586 0.234
O: 0.901 0.901 0.642

E_tot: -4.5075 eV/atom
polymorph energy (0 for the lowest one): 0 meV per atom
formation energy without anion corrections: -1.5355 eV per atom
crystal system: monoclinic

---

18.
Below is a geometry-optimized AlCdSi structure, with properties calculated at the PBE level.

Unit cell a=3.058 b=3.823 c=9.873 alpha=90.00 beta=90.00 gamma=90.00
Fractional coordinates of all 6 atoms:
Al: 0.250 0.250 0.087
Al: 0.750 0.750 0.913
Cd: 0.250 0.750 0.598
Cd: 0.750 0.250 0.402
Si: 0.250 0.250 0.817
Si: 0.750 0.750 0.183

E_tot: -3.1927 eV/atom
formation energy without anion corrections: 0.1675 eV per atom
crystal system: orthorhombic

---

19.
Below is a geometry-optimized InGaNiCl2 structure, with properties calculated at the PBE level.

Unit cell a=5.343 b=5.343 c=4.670 alpha=90.00 beta=90.00 gamma=90.00
Fractional coordinates of all 5 atoms:
In: 0.000 0.000 0.000
Ga: 0.500 0.500 0.500
Ni: 0.500 0.500 0.000
Cl: 0.000 0.500 0.500
Cl: 0.500 0.000 0.500

E_tot: -3.0764 eV/atom
formation energy without anion corrections: -0.0284 eV per atom
crystal system: tetragonal

---

20.
Below is a geometry-optimized NaHgSb2 structure, with properties calculated at the PBE level.

Unit cell a=3.644 b=3.644 c=28.873 alpha=90.00 beta=90.00 gamma=120.00
Fractional coordinates of all 12 atoms:
Na: 0.000 0.000 0.000
Na: 0.333 0.667 0.667
Na: 0.667 0.333 0.333
Hg: 0.000 0.000 0.500
Hg: 0.333 0.667 0.167
Hg: 0.667 0.333 0.833
Sb: 0.000 0.000 0.244
Sb: 0.000 0.000 0.756
Sb: 0.333 0.667 0.422
Sb: 0.333 0.667 0.911
Sb: 0.667 0.333 0.089
Sb: 0.667 0.333 0.578

E_tot: -2.4342 eV/atom
formation energy without anion corrections: 0.0322 eV per atom
crystal system: trigonal